Crystalline AlFeSiAu2 at its relaxed geometry, computed with GGA-PBE.

a b c (Å): 4.744 4.744 4.572
angles (deg): 90.00 90.00 90.00
Positions (direct):
Al1 0.000 0.000 0.000
Fe1 0.000 0.000 0.500
Si1 0.500 0.500 0.500
Au1 0.000 0.500 0.000
Au2 0.500 0.000 0.000

Computed properties:
Volume   103 Å³ per cell
ΔE_f (raw)   0.82 eV/atom
Total magnetic moment   2.7 Bohr magnetons per cell
Symmetry   P4/mmm, No. 123